The following is a PBE-GGA calculation of a relaxed Y6Sn2Ru crystal, from Alexandria via LeMat-Bulk.

Summary:
- DFT total energy (eV/atom) = -6.4226
- ΔE_f (meV per atom) = -193

The structure in POSCAR format:
```
Y6Sn2Ru
1.0
6.799 0.000 0.000
0.000 6.799 0.000
0.000 0.000 13.520
Y Sn Ru
12 4 2
Direct
0.190 0.190 0.145
0.190 0.190 0.855
0.213 0.213 0.500
0.287 0.713 0.000
0.310 0.690 0.355
0.310 0.690 0.645
0.690 0.310 0.355
0.690 0.310 0.645
0.713 0.287 0.000
0.787 0.787 0.500
0.810 0.810 0.145
0.810 0.810 0.855
0.000 0.000 0.328
0.000 0.000 0.672
0.500 0.500 0.172
0.500 0.500 0.828
0.000 0.000 0.000
0.500 0.500 0.500
```

The following is a PBE-GGA calculation of a relaxed TbEuHgRh crystal, from Alexandria via LeMat-Bulk.

Summary:
- DFT total energy (eV/atom) = -6.1158
- ΔE_f (meV per atom) = -476

The structure in POSCAR format:
```
TbEuHgRh
1.0
0.000 3.633 3.633
3.633 0.000 3.633
3.633 3.633 0.000
Tb Eu Hg Rh
1 1 1 1
Direct
0.000 0.000 0.000
0.500 0.500 0.500
0.250 0.250 0.250
0.750 0.750 0.750
```

The following is a PBE-GGA calculation of a relaxed CsLaCrN3 crystal, from Alexandria via LeMat-Bulk.

Summary:
- DFT total energy (eV/atom) = -7.1491
- raw formation energy (eV/atom) = -0.4191

The structure in POSCAR format:
```
CsLaCrN3
1.0
6.934 -1.902 0.000
6.934 1.902 0.000
-2.019 0.000 8.459
Cs La Cr N
2 2 2 6
Direct
0.137 0.137 0.073
0.863 0.863 0.927
0.158 0.158 0.593
0.842 0.842 0.407
0.486 0.486 0.653
0.514 0.514 0.347
0.017 0.017 0.365
0.349 0.349 0.627
0.390 0.390 0.233
0.610 0.610 0.767
0.651 0.651 0.373
0.983 0.983 0.635
```